A geometry-optimized Zn2CrOs structure, computed with PBE-GGA.

distance to the lowest polymorph of the same formula	776.5	meV/atom
energy	-5.02	eV per atom
ρ	10.556	g cm⁻³
ΔE_f	0.83	eV/atom

a = 6.8534 Å, b = 6.8534 Å, c = 4.9975 Å
α = 90.00°, β = 90.00°, γ = 90.00°
With the nearest neighbours (Å) after each atom.
Fractional positions:
1 Zn 0.2443 0.7500 0.1250  2 Cr 2.48, 2 Zn 2.50, 2 Os 2.53
2 Zn 0.2500 0.2443 0.8750  2 Cr 2.48, 2 Zn 2.50, 2 Os 2.53
3 Zn 0.2500 0.2557 0.3750  2 Cr 2.48, 2 Zn 2.50, 2 Os 2.53
4 Zn 0.2557 0.7500 0.6250  2 Cr 2.48, 2 Zn 2.50, 2 Os 2.53
5 Zn 0.7443 0.2500 0.6250  2 Cr 2.48, 2 Zn 2.50, 2 Os 2.53
6 Zn 0.7500 0.7443 0.3750  2 Cr 2.48, 2 Zn 2.50, 2 Os 2.53
7 Zn 0.7500 0.7557 0.8750  2 Cr 2.48, 2 Zn 2.50, 2 Os 2.53
8 Zn 0.7557 0.2500 0.1250  2 Cr 2.48, 2 Zn 2.50, 2 Os 2.53
9 Cr 0.0000 0.0000 0.0000  4 Zn 2.48, 2 Os 2.50
10 Cr 0.0000 0.5000 0.2500  4 Zn 2.48, 2 Os 2.50
11 Cr 0.5000 0.0000 0.7500  4 Zn 2.48, 2 Os 2.50
12 Cr 0.5000 0.5000 0.5000  4 Zn 2.48, 2 Os 2.50
13 Os 0.0000 0.0000 0.5000  2 Cr 2.50, 4 Zn 2.53
14 Os 0.0000 0.5000 0.7500  2 Cr 2.50, 4 Zn 2.53
15 Os 0.5000 0.0000 0.2500  2 Cr 2.50, 4 Zn 2.53
16 Os 0.5000 0.5000 0.0000  2 Cr 2.50, 4 Zn 2.53